# 1
Crystalline La2Sm6Er3Sc at its relaxed geometry, computed with PBE-GGA.

Results
Symmetry ... C2/m (12)
DFT formation energy ... 0.38 eV per formula unit

Lattice parameters (Å, degrees): 6.2169 6.2169 11.8897 95.03 95.03 120.02
Element x y z (fractional)
La 0.3334 0.6666 0.0000
La 0.6666 0.3334 0.0000
Sm 0.9161 0.5870 0.7466
Sm 0.7543 0.7543 0.2538
Sm 0.0839 0.4130 0.2534
Sm 0.5870 0.9161 0.7466
Sm 0.2457 0.2457 0.7462
Sm 0.4130 0.0839 0.2534
Er 0.1662 0.8338 0.5000
Er 0.8338 0.1662 0.5000
Er 0.5000 0.5000 0.5000
Sc 0.0000 0.0000 0.0000


# 2
Crystalline Ce3Zn9Cu2 at its relaxed geometry, computed with PBE-GGA.

Results
Symmetry ... Immm (71)
DFT formation energy ... -3.47 eV per formula unit

Lattice parameters (Å, degrees): 4.4620 8.1370 8.1370 65.79 74.09 74.09
Site moments in Bohr magnetons follow the coordinates.
Element x y z (fractional)
Ce 0.0000 0.0000 0.0000  0.77
Ce 0.7053 0.2947 0.2947  0.41
Ce 0.2947 0.7053 0.7053  0.41
Zn 0.0000 0.5000 0.5000  0.00
Zn 0.6547 0.9891 0.7015  0.01
Zn 0.3453 0.0109 0.2985  0.01
Zn 0.6547 0.7015 0.9891  0.01
Zn 0.3453 0.2985 0.0109  0.01
Zn 0.8643 0.8488 0.4226  0.01
Zn 0.1357 0.1512 0.5774  0.01
Zn 0.8643 0.4226 0.8488  0.01
Zn 0.1357 0.5774 0.1512  0.01
Cu 0.5000 0.3265 0.6735  0.00
Cu 0.5000 0.6735 0.3265  0.00


# 3
Crystalline GePt3N at its relaxed geometry, computed with PBE-GGA.

Results
Formation energy from raw total energies ... 1662 meV/atom
Symmetry ... Pm-3m (221)

Lattice parameters (Å, degrees): 4.6717 4.6717 4.6717 90.00 90.00 90.00
Site moments in Bohr magnetons follow the coordinates.
Element x y z (fractional)
Ge 0.0000 0.0000 0.0000  0.00
Pt 0.0000 0.5000 0.0000  0.06
Pt 0.0000 0.0000 0.5000  0.10
Pt 0.5000 0.0000 0.0000  0.06
N 0.5000 0.5000 0.5000  1.58


Which formula does entry 3 have?
GePt3N